# 1
This record from Alexandria describes a relaxed Mg2ZrIn crystal. The functional is GGA-PBE.

```
4
Lattice="5.440 -0.013 0.000 1.795 5.136 0.000 -3.618 -2.561 3.154" Properties=species:S:1:pos:R:3 pbc="T T T"
Mg 0.000 0.000 0.000
Mg 0.898 2.568 1.577
In 2.720 -0.007 1.577
Zr 3.618 2.561 0.000
```

Values from the calculation:
For the volume, the calculation gives 22.1 Å³/atom. The value obtained for the energy is -0.2689 Ry per atom. Its space-group type is I-4m2. Its total magnetization is 0.000 μB per atom. The density is 4.79 Mg/m³. The energy of formation comes out at -0.039 eV/atom.

---

# 2
This record from Alexandria describes a relaxed MgZrIn2 crystal. The functional is GGA-PBE.

```
4
Lattice="5.570 0.000 -0.006 2.138 5.143 0.006 -3.850 -2.577 3.092" Properties=species:S:1:pos:R:3 pbc="T T T"
In 0.000 0.000 0.000
In 3.854 2.572 0.000
Zr 1.071 2.569 1.549
Mg 2.787 -0.003 1.543
```

Values from the calculation:
For the volume, the calculation gives 22.1 Å³/atom. The value obtained for the energy is -0.2988 Ry per atom. Its space-group type is I4/mmm. Its total magnetization is 0.000 μB per atom. The density is 6.47 Mg/m³. The energy of formation comes out at -0.161 eV/atom.

---

# 3
This record from Alexandria describes a relaxed Mg2ZrIn crystal. The functional is GGA-PBE.

```
4
Lattice="4.682 0.000 0.000 0.000 3.166 -0.099 0.000 1.696 6.055" Properties=species:S:1:pos:R:3 pbc="T T T"
In 2.341 4.251 4.311
Zr 0.000 2.627 3.109
Mg 0.000 2.570 0.007
Mg 2.341 1.011 1.407
```

Values from the calculation:
For the volume, the calculation gives 22.6 Å³/atom. The value obtained for the energy is -0.2716 Ry per atom. Its space-group type is Pm. Its total magnetization is 0.000 μB per atom. The density is 4.67 Mg/m³. The energy of formation comes out at -0.077 eV/atom.

---

# 4
This record from Alexandria describes a relaxed Mg2ZrIn crystal. The functional is GGA-PBE.

```
4
Lattice="-5.590 1.287 0.567 1.587 -5.261 1.742 0.536 1.091 2.806" Properties=species:S:1:pos:R:3 pbc="T T T"
Zr -2.527 1.189 1.687
Mg -2.002 -1.987 1.155
Mg 0.000 0.000 0.000
In 1.061 -2.085 2.274
```

Values from the calculation:
For the volume, the calculation gives 22.8 Å³/atom. The value obtained for the energy is -0.2688 Ry per atom. Its space-group type is Cmmm. Its total magnetization is 0.000 μB per atom. The density is 4.64 Mg/m³. The energy of formation comes out at -0.038 eV/atom.

---

# 5
This record from Alexandria describes a relaxed MgZrIn2 crystal. The functional is GGA-PBE.

```
4
Lattice="5.153 -0.013 -0.007 4.138 3.072 -0.007 1.019 0.336 5.865" Properties=species:S:1:pos:R:3 pbc="T T T"
In 5.130 1.689 2.938
In 1.044 0.344 5.851
Mg 7.733 2.546 4.387
Zr 2.578 0.849 1.462
```

Values from the calculation:
For the volume, the calculation gives 23.3 Å³/atom. The value obtained for the energy is -0.2921 Ry per atom. Its space-group type is C2/m. Its total magnetization is 0.000 μB per atom. The density is 6.15 Mg/m³. The energy of formation comes out at -0.069 eV/atom.

---

# 6
This record from Alexandria describes a relaxed Mg2ZrIn crystal. The functional is GGA-PBE.

```
4
Lattice="10.632 -0.005 -0.003 10.158 3.140 -0.003 10.158 1.531 2.741" Properties=species:S:1:pos:R:3 pbc="T T T"
Zr 7.737 1.166 0.684
Mg 0.043 0.006 0.004
Mg 15.431 2.326 1.363
In 23.210 3.499 2.051
```

Values from the calculation:
For the volume, the calculation gives 22.9 Å³/atom. The value obtained for the energy is -0.2668 Ry per atom. Its space-group type is R-3m. Its total magnetization is 0.000 μB per atom. The density is 4.61 Mg/m³. The energy of formation comes out at -0.011 eV/atom.

---

# 7
This record from Alexandria describes a relaxed MgZrIn crystal. The functional is GGA-PBE.

```
3
Lattice="-4.110 -5.334 1.021 -1.027 -6.368 -2.188 3.984 5.069 2.196" Properties=species:S:1:pos:R:3 pbc="T T T"
In -1.149 -6.625 1.028
Zr -3.417 -7.785 -0.775
Mg -1.723 -3.925 -0.391
```

Values from the calculation:
For the volume, the calculation gives 22.3 Å³/atom. The value obtained for the energy is -0.3244 Ry per atom. Its space-group type is I4mm. Its total magnetization is 0.000 μB per atom. The density is 5.71 Mg/m³. The energy of formation comes out at -0.120 eV/atom.

---

# 8
This record from Alexandria describes a relaxed Mg2ZrIn crystal. The functional is GGA-PBE.

```
4
Lattice="-2.674 -0.228 -4.206 -4.715 -1.626 0.127 -3.761 3.194 -0.741" Properties=species:S:1:pos:R:3 pbc="T T T"
Mg 0.000 0.000 0.000
Mg -2.788 0.335 -1.205
Zr -8.363 1.005 -3.615
In -5.576 0.670 -2.410
```

Values from the calculation:
For the volume, the calculation gives 22.0 Å³/atom. The value obtained for the energy is -0.2653 Ry per atom. Its space-group type is F-43m. Its total magnetization is 0.000 μB per atom. The density is 4.81 Mg/m³. The energy of formation comes out at 0.010 eV/atom.